Material: HfZn2Fe
Method: DFT, PBE
State: optimized geometry

Unit cell a=4.409 b=4.409 c=4.409 alpha=60.00 beta=60.00 gamma=60.00
Fractional positions:
Fe  0.500  0.500  0.500
Hf  0.250  0.250  0.250
Zn  0.000  0.000  0.000
Zn  0.750  0.750  0.750

total energy = -20.9 eV/f.u.
DFT formation energy = -15 meV/atom
spin magnetization = 1.4 μB per formula unit